# 1
Computed, not measured: RbNa2LiPt after structural relaxation at the PBE-GGA level of DFT.

POSCAR file:
```
RbNa2LiPt
1.0
5.317 0.000 0.000
0.000 5.900 0.000
0.000 0.000 5.317
Na Rb Pt Li
2 1 1 1
Cartesian
2.658 0.000 0.000
0.000 0.000 2.658
0.000 2.950 0.000
2.658 2.950 2.658
0.000 0.000 0.000
```

Its symmetry is P4/mmm, No. 123. The calculation puts the total magnetic moment at 0.00 μB/f.u. The formation energy comes out at 0.619 eV per atom. Its polymorph energy (0 for the lowest one) is 645 meV per atom. The calculation puts the total energy at -1.69 eV/atom.

# 2
Computed, not measured: Bi2Os2Pd after structural relaxation at the PBE-GGA level of DFT.

POSCAR file:
```
Bi2Os2Pd
1.0
-3.084 0.722 1.625
-0.487 -3.472 0.617
2.329 -0.624 8.597
Pd Os Bi
1 2 2
Cartesian
0.000 0.000 0.000
-1.270 -0.639 5.671
0.028 -2.735 5.167
-0.930 -1.219 2.676
-0.312 -2.155 8.163
```

Its symmetry is I4/mmm, No. 139. The calculation puts the total magnetic moment at 0.00 μB/f.u. The formation energy comes out at 0.614 eV per atom. Its polymorph energy (0 for the lowest one) is 0 meV per atom. The calculation puts the total energy at -6.47 eV/atom.

# 3
Computed, not measured: Y2MgW after structural relaxation at the PBE-GGA level of DFT.

POSCAR file:
```
Y2MgW
1.0
-1.039 -4.613 -1.818
1.908 -4.106 2.271
-3.050 -3.113 2.583
Mg Y W
1 2 1
Cartesian
-1.090 -5.916 1.518
0.000 0.000 0.000
-1.636 -8.874 2.277
-0.545 -2.958 0.759
```

Its symmetry is F-43m, No. 216. The calculation puts the total magnetic moment at 0.00 μB/f.u. The formation energy comes out at 0.566 eV per atom. The calculation puts the total energy at -6.30 eV/atom.

# 4
Computed, not measured: Ta2InCl4 after structural relaxation at the PBE-GGA level of DFT.

POSCAR file:
```
Ta2InCl4
1.0
5.934 0.000 0.000
0.000 5.934 0.000
2.967 2.967 6.576
Cl Ta In
4 2 1
Cartesian
0.000 2.967 0.000
2.967 0.000 0.000
2.967 2.967 3.408
5.934 5.934 3.169
2.967 2.967 1.051
5.934 5.934 5.525
0.000 0.000 0.000
```

Its symmetry is I4/mmm, No. 139. The calculation puts the total magnetic moment at 0.00 μB/f.u. The value obtained for the uncorrected formation energy is 0.34 eV/atom. The calculation puts the total energy at -4.49 eV/atom.

# 5
Computed, not measured: Pm3PrY6Er2 after structural relaxation at the PBE-GGA level of DFT.

POSCAR file:
```
Pm3PrY6Er2
1.0
-3.037 4.026 -3.646
-3.168 -4.287 3.211
1.118 7.513 9.131
Y Er Pm Pr
6 2 3 1
Cartesian
-1.296 0.413 3.306
-4.368 1.670 1.941
-3.791 6.840 5.390
-0.719 5.583 6.755
-1.252 3.191 1.015
-3.835 4.062 7.681
-3.124 -1.517 0.926
-3.081 1.256 -1.361
-2.587 0.857 6.632
-2.544 3.626 4.348
-2.500 6.396 2.064
0.000 0.000 0.000
```

Its symmetry is C2/m, No. 12. The calculation puts the total magnetic moment at 0.00 μB/f.u. The formation energy comes out at 0.017 eV per atom. The calculation puts the total energy at -5.56 eV/atom.

# 6
Computed, not measured: Y2TaRe after structural relaxation at the PBE-GGA level of DFT.

POSCAR file:
```
Y2TaRe
1.0
10.148 0.010 0.006
9.606 3.273 0.006
9.606 1.596 2.857
Y Ta Re
2 1 1
Cartesian
0.288 0.048 0.028
6.888 1.145 0.673
22.453 3.731 2.194
14.409 2.395 1.408
```

Its symmetry is R3m, No. 160. The calculation puts the total magnetic moment at 0.00 μB/f.u. The formation energy comes out at 0.329 eV per atom. Its polymorph energy (0 for the lowest one) is 295 meV per atom. The calculation puts the total energy at -8.98 eV/atom.

# 7
Computed, not measured: FeTc2As after structural relaxation at the PBE-GGA level of DFT.

POSCAR file:
```
FeTc2As
1.0
8.302 -0.027 -0.016
7.824 2.774 -0.016
7.824 1.333 2.433
Tc As Fe
2 1 1
Cartesian
11.970 2.039 1.200
0.005 0.001 0.001
5.988 1.020 0.600
17.963 3.061 1.801
```

Its symmetry is R-3m, No. 166. The calculation puts the total magnetic moment at 1.98 μB/f.u. The formation energy comes out at 0.193 eV per atom. Its polymorph energy (0 for the lowest one) is 184 meV per atom. The calculation puts the total energy at -8.27 eV/atom.

# 8
Computed, not measured: Tb2PrNdSm6 after structural relaxation at the PBE-GGA level of DFT.

POSCAR file:
```
Tb2PrNdSm6
1.0
-6.993 -3.101 6.066
-2.342 -5.599 -6.555
6.658 -2.502 5.404
Sm Tb Pr Nd
12 4 2 2
Cartesian
-4.890 -6.230 -0.942
0.770 -5.550 -1.249
2.214 -4.972 5.858
4.353 -2.702 3.660
-3.447 -5.652 6.164
-1.639 -7.552 -2.149
-1.037 -3.650 7.064
-1.892 -4.769 0.552
-0.785 -6.432 4.363
-0.217 -7.410 7.421
-2.460 -3.792 -2.505
-7.029 -8.500 1.255
-2.308 -3.531 3.625
-0.369 -7.671 1.291
-2.968 -8.913 5.516
0.292 -2.289 -0.600
1.253 -4.536 2.061
-3.929 -6.666 2.854
-3.840 -6.288 -4.706
1.163 -4.914 9.621
```

Its symmetry is C2/c, No. 15. The calculation puts the total magnetic moment at 0.00 μB/f.u. The formation energy comes out at 0.118 eV per atom. The calculation puts the total energy at -4.59 eV/atom.

# 9
Computed, not measured: Sc8Co2Hg after structural relaxation at the PBE-GGA level of DFT.

POSCAR file:
```
Sc8Co2Hg
1.0
-3.497 -0.732 -3.296
-4.033 -1.308 5.968
1.030 7.134 -1.279
Hg Co Sc
1 2 8
Cartesian
-1.748 -0.366 -1.648
-2.451 1.330 3.703
-0.552 4.496 0.986
-1.976 4.671 -1.127
-4.524 0.423 2.520
-4.965 5.120 -0.235
-2.923 3.373 1.887
-3.576 1.720 -0.495
-0.194 2.210 -0.291
-6.306 2.884 1.684
-1.534 -0.026 1.628
```

Its symmetry is C2/m, No. 12. The calculation puts the total magnetic moment at 0.00 μB/f.u. The formation energy comes out at -0.186 eV per atom. The calculation puts the total energy at -6.11 eV/atom.

# 10
Computed, not measured: Pr2PuBi3 after structural relaxation at the PBE-GGA level of DFT.

POSCAR file:
```
Pr2PuBi3
1.0
-2.720 -2.331 -7.134
7.969 -0.456 0.087
-3.419 -11.625 8.079
Bi Pu Pr
12 4 8
Cartesian
4.864 -7.414 0.608
3.657 -6.412 -3.826
2.065 -10.350 5.590
-1.896 -8.011 4.810
1.067 -4.988 -0.207
-3.384 -11.281 1.980
1.276 -0.677 -1.713
5.180 -3.111 -0.900
-0.199 -4.079 -4.606
0.834 -9.411 1.286
3.973 -2.109 -5.334
2.312 -6.059 4.034
3.455 -8.910 3.082
-0.133 -2.174 0.761
3.720 -4.563 1.560
1.964 -12.237 0.271
-0.663 -10.871 3.804
2.230 -7.875 -1.256
2.494 -3.540 -2.773
-1.626 -5.528 -2.041
-0.399 -6.536 2.287
-1.888 -9.821 -0.538
-2.152 -14.156 0.979
-1.362 -1.193 -3.558
```

Its symmetry is Fddd, No. 70. The calculation puts the total magnetic moment at 5.07 μB/f.u. The formation energy comes out at -0.743 eV per atom. Its polymorph energy (0 for the lowest one) is 0 meV per atom. The calculation puts the total energy at -6.67 eV/atom.

# 11
Computed, not measured: NaZrCuTe3 after structural relaxation at the PBE-GGA level of DFT.

POSCAR file:
```
NaZrCuTe3
1.0
-1.535 -2.907 2.432
7.814 2.181 7.538
-8.937 10.041 6.359
Cu Te Na Zr
4 12 4 4
Cartesian
-2.495 3.795 8.117
-0.164 5.521 8.213
-0.486 -1.913 2.564
-2.172 11.228 13.766
2.253 4.538 8.564
-0.433 -0.241 4.596
4.823 0.824 9.185
3.088 1.527 5.492
-0.879 4.066 6.023
-1.779 5.249 10.307
-7.481 8.491 7.144
1.566 7.369 11.514
-4.224 1.946 4.816
-4.911 4.777 7.766
-5.746 7.788 10.838
-2.226 9.556 11.734
0.746 1.747 7.715
-2.017 1.688 2.462
-0.641 7.627 13.867
-3.405 7.568 8.614
2.012 0.054 3.053
0.842 4.532 11.104
-4.671 9.261 13.276
-3.501 4.783 5.225
```

Its symmetry is Pnma, No. 62. The calculation puts the total magnetic moment at 0.00 μB/f.u. The value obtained for the uncorrected formation energy is -0.73 eV/atom. The calculation puts the total energy at -4.63 eV/atom.

# 12
Computed, not measured: YTa3C after structural relaxation at the PBE-GGA level of DFT.

POSCAR file:
```
YTa3C
1.0
-2.240 -3.838 -0.325
3.647 -2.234 1.249
-1.239 0.361 4.265
Ta Y C
3 1 1
Cartesian
-0.619 0.181 2.132
-1.120 -1.919 -0.163
1.824 -1.117 0.624
0.084 -2.856 2.594
0.000 0.000 0.000
```

Its symmetry is Pm-3m, No. 221. The calculation puts the total magnetic moment at 0.00 μB/f.u. The formation energy comes out at 0.044 eV per atom. Its polymorph energy (0 for the lowest one) is 0 meV per atom. The calculation puts the total energy at -10.21 eV/atom.

What is the formula in the fourth record?
Ta2InCl4